## one
MgInO: optimized geometry, GGA-PBE.

Cell lengths 3.695, 4.029, 15.496 Å; angles 90.00, 90.00, 90.00 degrees
Space group Imm2 (No. 44)
Symmetry-distinct sites (fractional):
Mg  0.000  0.000  0.000
Mg  0.000  0.000  0.452
In  0.000  0.500  0.167
In  0.000  0.500  0.767
O  0.000  0.500  0.016
O  0.000  0.500  0.454

## two
MgInO: optimized geometry, GGA-PBE.

Cell lengths 3.347, 5.816, 5.643 Å; angles 90.00, 90.00, 90.00 degrees
Space group Pmn2_1 (No. 31)
Symmetry-distinct sites (fractional):
Mg  0.000  0.001  0.000
In  0.000  0.499  0.340
O  0.000  0.082  0.338

## three
MgInO: optimized geometry, GGA-PBE.

Cell lengths 4.195, 4.182, 11.576 Å; angles 90.00, 96.99, 90.00 degrees
Space group C2/m (No. 12)
Symmetry-distinct sites (fractional):
Mg  0.219  0.000  0.406
In  0.157  0.500  0.136
O  0.218  0.500  0.405

## four
MgInO: optimized geometry, GGA-PBE.

Cell lengths 2.925, 2.925, 6.087 Å; angles 90.00, 90.00, 90.00 degrees
Space group P4/mmm (No. 123)
Symmetry-distinct sites (fractional):
Mg  0.000  0.000  0.000
In  0.500  0.500  0.500
O  0.500  0.500  0.000

Winner for stability: three

## one
MgIn2O4: optimized geometry, GGA-PBE.

Cell lengths 9.057, 9.057, 9.057 Å; angles 90.00, 90.00, 90.00 degrees
Space group Fd-3m (No. 227, origin choice 2)
Symmetry-distinct sites (fractional):
Mg  0.125  0.125  0.125
In  0.000  0.000  0.500
O  0.006  0.006  0.744

## two
MgIn2O4: optimized geometry, GGA-PBE.

Cell lengths 6.324, 6.435, 8.954 Å; angles 90.00, 90.00, 90.00 degrees
Space group Imma (No. 74)
Symmetry-distinct sites (fractional):
Mg  0.250  0.250  0.250
In  0.000  0.000  0.000
In  0.000  0.250  0.632
O  0.000  0.025  0.243
O  0.236  0.250  0.012

Winner for stability: two

## one
MgIn2O: optimized geometry, GGA-PBE.

Cell lengths 6.897, 6.897, 6.897 Å; angles 90.00, 90.00, 90.00 degrees
Space group Fm-3m (No. 225)
Symmetry-distinct sites (fractional):
Mg  0.000  0.000  0.000
In  0.250  0.250  0.250
O  0.000  0.000  0.500

## two
MgIn2O: optimized geometry, GGA-PBE.

Cell lengths 7.021, 7.021, 6.879 Å; angles 90.00, 90.00, 90.00 degrees
Space group I-42d (No. 122)
Symmetry-distinct sites (fractional):
Mg  0.000  0.000  0.000
In  0.176  0.250  0.625
O  0.000  0.000  0.500

Winner for stability: two

## one
Mg2InO: optimized geometry, GGA-PBE.

Cell lengths 6.136, 6.136, 8.549 Å; angles 90.00, 90.00, 90.00 degrees
Space group I-42d (No. 122)
Symmetry-distinct sites (fractional):
Mg  0.106  0.250  0.125
In  0.000  0.000  0.500
O  0.000  0.000  0.000

## two
Mg2InO: optimized geometry, GGA-PBE.

Cell lengths 6.704, 6.704, 6.704 Å; angles 90.00, 90.00, 90.00 degrees
Space group Fm-3m (No. 225)
Symmetry-distinct sites (fractional):
Mg  0.250  0.250  0.250
In  0.000  0.000  0.000
O  0.000  0.000  0.500

Winner for stability: one

## one
MgInP: optimized geometry, GGA-PBE.

Cell lengths 4.679, 4.799, 11.412 Å; angles 90.00, 90.00, 90.00 degrees
Space group Fmm2 (No. 42)
Symmetry-distinct sites (fractional):
Mg  0.000  0.000  0.000
In  0.000  0.000  0.282
P  0.000  0.000  0.613

## two
MgInP: optimized geometry, GGA-PBE.

Cell lengths 6.649, 6.649, 6.649 Å; angles 90.00, 90.00, 90.00 degrees
Space group F-43m (No. 216)
Symmetry-distinct sites (fractional):
Mg  0.000  0.000  0.000
In  0.000  0.000  0.500
P  0.250  0.250  0.250

## three
MgInP: optimized geometry, GGA-PBE.

Cell lengths 7.1641, 7.1641, 4.5241 Å; angles 90.00, 90.00, 120.00 degrees
Space group P-62m (No. 189)
Symmetry-distinct sites (fractional):
Mg  0.0000  0.0000  0.0000
Mg  0.3333  0.6667  0.5000
In  0.0000  0.4927  0.0000
P  0.0000  0.2729  0.5000

Winner for stability: three

## one
MgInP: optimized geometry, GGA-PBE.

Cell lengths 4.2369, 4.2369, 28.1814 Å; angles 90.00, 90.00, 120.00 degrees
Space group R-3m (No. 166, hexagonal axes)
Symmetry-distinct sites (fractional):
Mg  0.0000  0.0000  0.1325
In  0.0000  0.0000  0.3757
P  0.0000  0.0000  0.2275

## two
MgInP: optimized geometry, GGA-PBE.

Cell lengths 3.9400, 3.9400, 5.1174 Å; angles 90.00, 90.00, 120.00 degrees
Space group P3m1 (No. 156)
Symmetry-distinct sites (fractional):
Mg  0.0000  0.0000  0.0000
In  0.3333  0.6667  0.4615
P  0.6667  0.3333  0.7561

## three
MgInP: optimized geometry, GGA-PBE.

Cell lengths 8.9795, 8.9795, 3.0552 Å; angles 90.00, 90.00, 120.00 degrees
Space group P-62m (No. 189)
Symmetry-distinct sites (fractional):
Mg  0.0000  0.2895  0.0000
In  0.0000  0.0000  0.5000
In  0.3333  0.6667  0.0000
P  0.0000  0.5266  0.5000

Winner for stability: one

## one
Mg3InP: optimized geometry, GGA-PBE.

Cell lengths 4.935, 4.935, 4.935 Å; angles 90.00, 90.00, 90.00 degrees
Space group Pm-3m (No. 221)
Symmetry-distinct sites (fractional):
Mg  0.000  0.000  0.500
In  0.500  0.500  0.500
P  0.000  0.000  0.000

## two
Mg3InP: optimized geometry, GGA-PBE.

Cell lengths 5.220, 5.220, 5.220 Å; angles 90.00, 90.00, 90.00 degrees
Space group Pm-3m (No. 221)
Symmetry-distinct sites (fractional):
Mg  0.000  0.000  0.500
In  0.000  0.000  0.000
P  0.500  0.500  0.500

Winner for stability: one

## one
MgIn2P2: optimized geometry, GGA-PBE.

Cell lengths 7.370, 7.370, 3.939 Å; angles 90.00, 90.00, 90.00 degrees
Space group P4/mbm (No. 127)
Symmetry-distinct sites (fractional):
Mg  0.000  0.000  0.000
In  0.143  0.357  0.500
P  0.180  0.680  0.000

## two
MgIn2P2: optimized geometry, GGA-PBE.

Cell lengths 5.404, 5.404, 7.612 Å; angles 90.00, 90.00, 90.00 degrees
Space group I4/mmm (No. 139)
Symmetry-distinct sites (fractional):
Mg  0.000  0.000  0.000
In  0.000  0.500  0.250
P  0.000  0.000  0.347

Winner for stability: one

## one
MgInP2S: optimized geometry, GGA-PBE.

Cell lengths 4.932, 4.932, 4.744 Å; angles 90.00, 90.00, 90.00 degrees
Space group P4/mmm (No. 123)
Symmetry-distinct sites (fractional):
Mg  0.000  0.000  0.000
In  0.500  0.500  0.500
P  0.000  0.500  0.000
S  0.000  0.000  0.500

## two
MgInP2S: optimized geometry, GGA-PBE.

Cell lengths 5.032, 5.032, 5.133 Å; angles 90.00, 90.00, 90.00 degrees
Space group P4/mmm (No. 123)
Symmetry-distinct sites (fractional):
Mg  0.000  0.000  0.000
In  0.500  0.500  0.500
P  0.000  0.500  0.500
S  0.500  0.500  0.000

Winner for stability: one

## one
MgPaIn2: optimized geometry, GGA-PBE.

Cell lengths 7.343, 7.343, 7.343 Å; angles 90.00, 90.00, 90.00 degrees
Space group Fm-3m (No. 225)
Symmetry-distinct sites (fractional):
Mg  0.000  0.000  0.000
Pa  0.000  0.000  0.500
In  0.250  0.250  0.250

## two
MgPaIn2: optimized geometry, GGA-PBE.

Cell lengths 4.8357, 4.8357, 15.1005 Å; angles 90.00, 90.00, 120.00 degrees
Space group R3m (No. 160, hexagonal axes)
Symmetry-distinct sites (fractional):
Mg  0.0000  0.0000  0.0000
Pa  0.0000  0.0000  0.2288
In  0.0000  0.0000  0.4555
In  0.0000  0.0000  0.7041

## three
MgPaIn2: optimized geometry, GGA-PBE.

Cell lengths 6.748, 9.462, 3.093 Å; angles 90.00, 90.00, 90.00 degrees
Space group Cmmm (No. 65)
Symmetry-distinct sites (fractional):
Mg  0.000  0.000  0.000
Pa  0.000  0.500  0.000
In  0.250  0.250  0.500

## four
MgPaIn2: optimized geometry, GGA-PBE.

Cell lengths 4.690, 4.690, 4.496 Å; angles 90.00, 90.00, 90.00 degrees
Space group P4/mmm (No. 123)
Symmetry-distinct sites (fractional):
Mg  0.000  0.000  0.000
Pa  0.500  0.500  0.000
In  0.000  0.500  0.500

Winner for stability: four